Material: In4HgS5
Method: DFT, PBE-GGA
State: relaxed

Its theoretical density is 5.11 g/cm3. The value obtained for the energy is -70.5 eV per cell.

The structure belongs to space group C2/m (No. 12); the cell edges are 18.2581, 3.7089 and 7.9489 Å and the angles 90.00°, 97.86° and 90.00°. Symmetry generates all atoms from In at (0.0439, 0.0000, 0.2998), In at (0.2045, 0.5000, 0.1422), Hg at (0.0000, 0.5000, 0.0000), S at (0.0000, 0.5000, 0.5000), S at (0.1618, 0.0000, 0.9111) and S at (0.1828, 0.0000, 0.3620).